Material: YEr6Tm2
Method: DFT, GGA-PBE
State: optimized geometry

abc: 9.4474 9.4474 6.4749
angles: 99.32 99.32 96.23
Element x y z (fractional)
Y 0.1191 0.8809 0.7500
Y 0.8809 0.1191 0.2500
Er 0.0470 0.2244 0.8149
Er 0.0625 0.4611 0.2736
Er 0.2244 0.0470 0.3149
Er 0.2779 0.6469 0.9965
Er 0.3531 0.7221 0.5035
Er 0.4611 0.0625 0.7736
Er 0.5389 0.9375 0.2264
Er 0.6469 0.2779 0.4965
Er 0.7221 0.3531 0.0035
Er 0.7756 0.9530 0.6851
Er 0.9375 0.5389 0.7264
Er 0.9530 0.7756 0.1851
Tm 0.3365 0.3821 0.6319
Tm 0.3821 0.3365 0.1319
Tm 0.6179 0.6635 0.8681
Tm 0.6635 0.6179 0.3681

* energy of formation from the pure elements: 0.108 eV per atom



Material: K2ReSnC
Method: DFT, GGA-PBE
State: optimized geometry

abc: 5.9847 5.9847 4.2409
angles: 90.00 90.00 90.00
Element x y z (fractional)
K 0.0000 0.5000 0.0000
K 0.5000 0.0000 0.0000
Re 0.0000 0.0000 0.5000
Sn 0.5000 0.5000 0.5000
C 0.5000 0.5000 0.0000

* energy of formation from the pure elements: 1.805 eV per atom



Material: Pr2Np2N7
Method: DFT, GGA-PBE
State: optimized geometry

abc: 5.3603 5.3603 5.5693
angles: 90.00 90.00 96.67
Element x y z (fractional)
Pr 0.2501 0.2501 0.0000
Pr 0.7499 0.7499 0.0000
Np 0.2263 0.7737 0.5000
Np 0.7737 0.2263 0.5000
N 0.0000 0.0000 0.2778
N 0.0000 0.0000 0.7222
N 0.0000 0.5000 0.2741
N 0.0000 0.5000 0.7259
N 0.5000 0.0000 0.2741
N 0.5000 0.0000 0.7259
N 0.5000 0.5000 0.5000

* E_form (uncorrected): -0.765 eV/atom



Material: Pr3HoPb4
Method: DFT, GGA-PBE
State: optimized geometry

abc: 10.4264 10.4264 10.4264
angles: 159.61 138.73 46.45
Element x y z (fractional)
Pr 0.0000 0.0000 0.0000
Pr 0.2775 0.7775 0.5000
Pr 0.7225 0.2225 0.5000
Ho 0.5000 0.5000 0.0000
Pb 0.0979 0.3747 0.7233
Pb 0.3486 0.6253 0.7233
Pb 0.6514 0.3747 0.2767
Pb 0.9021 0.6253 0.2767

* energy of formation from the pure elements: -0.386 eV per atom



Material: NaTl9In2
Method: DFT, GGA-PBE
State: optimized geometry

abc: 5.3974 5.3974 12.2406
angles: 90.00 90.00 90.00
Element x y z (fractional)
Na 0.0000 0.0000 0.0000
Tl 0.0000 0.5000 0.1680
Tl 0.0000 0.5000 0.5000
Tl 0.0000 0.5000 0.8320
Tl 0.5000 0.0000 0.1680
Tl 0.5000 0.0000 0.5000
Tl 0.5000 0.0000 0.8320
Tl 0.5000 0.5000 0.0000
Tl 0.5000 0.5000 0.3343
Tl 0.5000 0.5000 0.6657
In 0.0000 0.0000 0.3316
In 0.0000 0.0000 0.6684

* energy of formation from the pure elements: -0.009 eV per atom



Material: ThIr3
Method: DFT, GGA-PBE
State: optimized geometry

abc: 5.3752 5.3752 17.7984
angles: 90.00 90.00 120.00
Element x y z (fractional)
Th 0.3333 0.6667 0.0427
Th 0.3333 0.6667 0.2500
Th 0.3333 0.6667 0.4573
Th 0.6667 0.3333 0.5427
Th 0.6667 0.3333 0.7500
Th 0.6667 0.3333 0.9573
Ir 0.0000 0.0000 0.0000
Ir 0.0000 0.0000 0.2500
Ir 0.0000 0.0000 0.5000
Ir 0.0000 0.0000 0.7500
Ir 0.1674 0.3347 0.6270
Ir 0.1674 0.3347 0.8730
Ir 0.1674 0.8326 0.6270
Ir 0.1674 0.8326 0.8730
Ir 0.3333 0.6667 0.7500
Ir 0.3347 0.1674 0.1270
Ir 0.3347 0.1674 0.3730
Ir 0.6653 0.8326 0.6270
Ir 0.6653 0.8326 0.8730
Ir 0.6667 0.3333 0.2500
Ir 0.8326 0.1674 0.1270
Ir 0.8326 0.1674 0.3730
Ir 0.8326 0.6653 0.1270
Ir 0.8326 0.6653 0.3730

* energy of formation from the pure elements: -0.677 eV per atom



Number 1: electronic total energy -4.646 eV per atom, size of the total moment 0.00 μB per formula unit. Number 2: electronic total energy -3.769 eV per atom, size of the total moment 4.12 μB per formula unit. Number 3: electronic total energy -9.285 eV per atom, size of the total moment 0.00 μB per formula unit. Number 4: electronic total energy -4.605 eV per atom, size of the total moment 0.00 μB per formula unit. Number 5: electronic total energy -2.350 eV per atom, size of the total moment 0.00 μB per formula unit. Number 6: electronic total energy -9.178 eV per atom, size of the total moment 0.00 μB per formula unit.